A) # Tb2Ho3In2

An optimized crystal structure of Tb2Ho3In2 (PBE, Alexandria).

a b c (Å): 4.876 3.429 12.105
angles (deg): 90.00 78.38 90.00
Last column: magnetic moment on the atom in μB.
Atoms (fractional coordinates):
Tb 0.714 0.500 0.572  -0.01
Tb 0.286 0.500 0.428  -0.01
Ho 0.858 0.000 0.283  0.05
Ho 0.000 0.000 0.000  0.19
Ho 0.142 0.000 0.717  0.05
In 0.571 0.500 0.857  0.00
In 0.429 0.500 0.143  0.00

Output
Space-group type: No. 65
DOS(E_F), states/eV/cell: 6.15

---

B) # Tb2Ho3In2

An optimized crystal structure of Tb2Ho3In2 (PBE, Alexandria).

a b c (Å): 5.374 5.373 8.582
angles (deg): 108.24 90.01 120.00
Atoms (fractional coordinates):
Tb 0.924 0.848 0.272
Tb 0.076 0.152 0.728
Ho 0.500 0.000 0.000
Ho 0.653 0.306 0.459
Ho 0.347 0.694 0.541
In 0.783 0.567 0.850
In 0.217 0.433 0.150

Output
Space-group type: No. 166
DOS(E_F), states/eV/cell: 5.45

---

Relative stability in meV/atom, measured from the most stable structure: A) 125; B) 0

---

A) # TbHo6In2

An optimized crystal structure of TbHo6In2 (PBE, Alexandria).

a b c (Å): 3.721 6.599 11.752
angles (deg): 74.88 80.89 73.63
Atoms (fractional coordinates):
Tb 0.000 0.000 0.000
Ho 0.684 0.507 0.124
Ho 0.316 0.493 0.876
Ho 0.310 0.795 0.584
Ho 0.985 0.686 0.343
Ho 0.015 0.314 0.657
Ho 0.690 0.205 0.416
In 0.356 0.079 0.208
In 0.644 0.921 0.792

Output
Space-group type: No. 12
DOS(E_F), states/eV/cell: 11.17

---

B) # TbHo6In2

An optimized crystal structure of TbHo6In2 (PBE, Alexandria).

a b c (Å): 6.243 6.243 8.756
angles (deg): 110.88 110.88 90.00
Atoms (fractional coordinates):
Tb 0.500 0.500 0.000
Ho 0.909 0.264 0.174
Ho 0.736 0.736 0.826
Ho 0.264 0.909 0.174
Ho 0.091 0.091 0.826
Ho 0.750 0.250 0.500
Ho 0.250 0.750 0.500
In 0.286 0.286 0.573
In 0.714 0.714 0.427

Output
Space-group type: No. 121
DOS(E_F), states/eV/cell: 12.32

---

Relative stability in meV/atom, measured from the most stable structure: A) 0; B) 530

---

A) # TbHo2In2

An optimized crystal structure of TbHo2In2 (PBE, Alexandria).

a b c (Å): 5.143 5.143 12.768
angles (deg): 90.00 90.00 120.00
Atoms (fractional coordinates):
Tb 0.000 0.000 0.250
Tb 0.000 0.000 0.750
Ho 0.667 0.333 0.750
Ho 0.000 0.000 0.000
Ho 0.000 0.000 0.500
Ho 0.333 0.667 0.250
In 0.333 0.667 0.630
In 0.667 0.333 0.130
In 0.667 0.333 0.370
In 0.333 0.667 0.870

Output
Space-group type: No. 194
DOS(E_F), states/eV/cell: 7.57

---

B) # TbHo2In2

An optimized crystal structure of TbHo2In2 (PBE, Alexandria).

a b c (Å): 3.739 5.338 13.961
angles (deg): 90.00 97.71 90.00
Atoms (fractional coordinates):
Tb 0.852 0.750 0.702
Tb 0.148 0.250 0.298
Ho 0.048 0.750 0.096
Ho 0.952 0.250 0.904
Ho 0.237 0.750 0.474
Ho 0.763 0.250 0.526
In 0.643 0.750 0.287
In 0.357 0.250 0.713
In 0.450 0.750 0.901
In 0.550 0.250 0.099

Output
Space-group type: No. 11
DOS(E_F), states/eV/cell: 8.68

---

Relative stability in meV/atom, measured from the most stable structure: A) 335; B) 0

---

A) # Tb3HoIn2

An optimized crystal structure of Tb3HoIn2 (PBE, Alexandria).

a b c (Å): 3.398 5.670 9.917
angles (deg): 106.61 99.87 90.00
Atoms (fractional coordinates):
Tb 0.000 0.500 0.000
Tb 0.815 0.815 0.629
Tb 0.185 0.185 0.371
Ho 0.000 0.000 0.000
In 0.646 0.646 0.293
In 0.354 0.354 0.707

Output
Space-group type: No. 71
DOS(E_F), states/eV/cell: 7.81

---

B) # Tb3HoIn2

An optimized crystal structure of Tb3HoIn2 (PBE, Alexandria).

a b c (Å): 5.195 6.722 9.845
angles (deg): 90.00 90.00 90.00
Atoms (fractional coordinates):
Tb 0.000 0.465 0.964
Tb 0.000 0.965 0.036
Tb 0.500 0.687 0.182
Tb 0.500 0.187 0.818
Tb 0.000 0.313 0.320
Tb 0.000 0.813 0.680
Ho 0.500 0.535 0.537
Ho 0.500 0.035 0.463
In 0.500 0.710 0.857
In 0.500 0.210 0.143
In 0.000 0.291 0.642
In 0.000 0.791 0.358

Output
Space-group type: No. 26
DOS(E_F), states/eV/cell: 11.24

---

Relative stability in meV/atom, measured from the most stable structure: A) 456; B) 0

---

A) # Tb6Ho3In

An optimized crystal structure of Tb6Ho3In (PBE, Alexandria).

a b c (Å): 5.159 10.457 11.842
angles (deg): 90.00 90.02 90.00
Atoms (fractional coordinates):
Tb 0.500 0.826 0.926
Tb 0.500 0.776 0.622
Tb 0.500 0.575 0.252
Tb 0.500 0.425 0.748
Tb 0.500 0.224 0.378
Tb 0.500 0.174 0.074
Tb 0.000 0.674 0.426
Tb 0.000 0.724 0.122
Tb 0.000 0.925 0.752
Tb 0.000 0.075 0.248
Tb 0.000 0.276 0.878
Tb 0.000 0.326 0.574
Ho 0.500 0.117 0.696
Ho 0.500 0.500 0.000
Ho 0.500 0.883 0.304
Ho 0.000 0.383 0.196
Ho 0.000 0.000 0.500
Ho 0.000 0.617 0.804
In 0.500 0.500 0.500
In 0.000 0.000 0.000

Output
Space-group type: No. 58
DOS(E_F), states/eV/cell: 27.03

---

B) # Tb6Ho3In

An optimized crystal structure of Tb6Ho3In (PBE, Alexandria).

a b c (Å): 3.516 12.688 14.954
angles (deg): 109.14 90.00 90.00
Atoms (fractional coordinates):
Tb 0.750 0.524 0.697
Tb 0.250 0.476 0.303
Tb 0.750 0.850 0.117
Tb 0.250 0.150 0.883
Tb 0.750 0.353 0.097
Tb 0.250 0.647 0.903
Tb 0.750 0.718 0.317
Tb 0.250 0.282 0.683
Tb 0.750 0.121 0.469
Tb 0.250 0.879 0.531
Tb 0.750 0.826 0.725
Tb 0.250 0.174 0.275
Ho 0.750 0.409 0.896
Ho 0.250 0.591 0.104
Ho 0.750 0.623 0.506
Ho 0.250 0.377 0.494
Ho 0.750 0.100 0.068
Ho 0.250 0.900 0.932
In 0.750 0.066 0.681
In 0.250 0.934 0.319

Output
Space-group type: No. 11
DOS(E_F), states/eV/cell: 26.98

---

Relative stability in meV/atom, measured from the most stable structure: A) 18; B) 0

---

A) # Tb5Ho2In4

An optimized crystal structure of Tb5Ho2In4 (PBE, Alexandria).

a b c (Å): 3.420 8.617 10.535
angles (deg): 84.06 90.00 90.00
Atoms (fractional coordinates):
Tb 0.000 0.464 0.333
Tb 0.000 0.838 0.143
Tb 0.000 0.500 0.000
Tb 0.000 0.162 0.857
Tb 0.000 0.536 0.667
Ho 0.000 0.916 0.639
Ho 0.000 0.084 0.361
In 0.500 0.246 0.576
In 0.500 0.801 0.882
In 0.500 0.754 0.424
In 0.500 0.199 0.118

Output
Space-group type: No. 10
DOS(E_F), states/eV/cell: 12.41

---

B) # Tb5Ho2In4

An optimized crystal structure of Tb5Ho2In4 (PBE, Alexandria).

a b c (Å): 5.248 10.397 8.768
angles (deg): 126.36 107.41 90.00
Atoms (fractional coordinates):
Tb 0.225 0.568 0.450
Tb 0.775 0.432 0.550
Tb 0.225 0.882 0.450
Tb 0.500 0.000 0.000
Tb 0.775 0.118 0.550
Ho 0.832 0.832 0.664
Ho 0.168 0.168 0.336
In 0.608 0.608 0.215
In 0.000 0.213 0.000
In 0.392 0.392 0.785
In 0.000 0.787 0.000

Output
Space-group type: No. 71
DOS(E_F), states/eV/cell: 12.17

---

Relative stability in meV/atom, measured from the most stable structure: A) 0; B) 325

---

A) # Tb3Ho2In4

An optimized crystal structure of Tb3Ho2In4 (PBE, Alexandria).

a b c (Å): 7.022 9.744 8.502
angles (deg): 90.00 114.39 90.00
Atoms (fractional coordinates):
Tb 0.000 0.000 0.000
Tb 0.500 0.500 0.000
Tb 0.530 0.750 0.561
Tb 0.970 0.250 0.439
Tb 0.470 0.250 0.439
Tb 0.030 0.750 0.561
Ho 0.106 0.543 0.213
Ho 0.894 0.457 0.787
Ho 0.394 0.043 0.787
Ho 0.606 0.957 0.213
In 0.738 0.750 0.976
In 0.762 0.250 0.024
In 0.262 0.250 0.024
In 0.238 0.750 0.976
In 0.195 0.979 0.390
In 0.805 0.021 0.610
In 0.305 0.479 0.610
In 0.695 0.521 0.390

Output
Space-group type: No. 64
DOS(E_F), states/eV/cell: 13.36

---

B) # Tb3Ho2In4

An optimized crystal structure of Tb3Ho2In4 (PBE, Alexandria).

a b c (Å): 5.282 5.280 10.199
angles (deg): 90.02 90.01 59.98
Atoms (fractional coordinates):
Tb 0.333 0.333 0.424
Tb 0.000 0.000 0.000
Tb 0.667 0.667 0.576
Ho 0.333 0.334 0.777
Ho 0.667 0.666 0.223
In 0.667 0.667 0.900
In 0.000 0.000 0.345
In 0.000 0.000 0.655
In 0.333 0.333 0.100

Output
Space-group type: No. 164
DOS(E_F), states/eV/cell: 7.56

---

Relative stability in meV/atom, measured from the most stable structure: A) 169; B) 0

---

A) # TbHo4In

An optimized crystal structure of TbHo4In (PBE, Alexandria).

a b c (Å): 3.552 3.552 14.203
angles (deg): 90.00 90.00 90.00
Atoms (fractional coordinates):
Tb 0.000 0.000 0.000
Ho 0.500 0.500 0.176
Ho 0.000 0.000 0.648
Ho 0.000 0.000 0.352
Ho 0.500 0.500 0.824
In 0.500 0.500 0.500

Output
Space-group type: No. 123
DOS(E_F), states/eV/cell: 6.35

---

B) # TbHo4In

An optimized crystal structure of TbHo4In (PBE, Alexandria).

a b c (Å): 6.018 6.018 11.714
angles (deg): 104.62 104.62 60.16
Atoms (fractional coordinates):
Tb 0.500 0.000 0.500
Tb 0.000 0.500 0.000
Ho 0.254 0.413 0.750
Ho 0.161 0.680 0.501
Ho 0.839 0.320 0.499
Ho 0.413 0.254 0.250
Ho 0.587 0.746 0.750
Ho 0.320 0.839 0.999
Ho 0.680 0.161 0.001
Ho 0.746 0.587 0.250
In 0.084 0.916 0.250
In 0.916 0.084 0.750

Output
Space-group type: No. 15
DOS(E_F), states/eV/cell: 15.63

---

Relative stability in meV/atom, measured from the most stable structure: A) 0; B) 32

---

A) # Tb5Ho4In

An optimized crystal structure of Tb5Ho4In (PBE, Alexandria).

a b c (Å): 4.105 4.105 18.226
angles (deg): 90.00 90.00 90.00
Atoms (fractional coordinates):
Tb 0.500 0.500 0.091
Tb 0.500 0.500 0.296
Tb 0.500 0.500 0.500
Tb 0.500 0.500 0.704
Tb 0.500 0.500 0.909
Ho 0.000 0.000 0.197
Ho 0.000 0.000 0.398
Ho 0.000 0.000 0.602
Ho 0.000 0.000 0.803
In 0.000 0.000 0.000

Output
Space-group type: No. 123
DOS(E_F), states/eV/cell: 19.16

---

B) # Tb5Ho4In

An optimized crystal structure of Tb5Ho4In (PBE, Alexandria).

a b c (Å): 5.802 8.010 8.010
angles (deg): 82.46 68.77 68.77
Atoms (fractional coordinates):
Tb 0.768 0.372 0.000
Tb 0.141 0.000 0.628
Tb 0.768 0.000 0.372
Tb 0.140 0.628 0.000
Tb 0.669 0.000 0.000
Ho 0.459 0.316 0.684
Ho 0.775 0.684 0.684
Ho 0.143 0.316 0.316
Ho 0.459 0.684 0.316
In 0.187 0.000 0.000

Output
Space-group type: No. 107
DOS(E_F), states/eV/cell: 13.56

---

Relative stability in meV/atom, measured from the most stable structure: A) 0; B) 117

---

A) # Tb3HoIn3

An optimized crystal structure of Tb3HoIn3 (PBE, Alexandria).

a b c (Å): 9.330 9.330 9.330
angles (deg): 90.00 90.00 90.00
Atoms (fractional coordinates):
Tb 0.825 0.325 0.175
Tb 0.928 0.928 0.928
Tb 0.825 0.675 0.325
Tb 0.175 0.825 0.325
Tb 0.175 0.175 0.175
Tb 0.325 0.825 0.675
Tb 0.072 0.428 0.572
Tb 0.325 0.175 0.825
Tb 0.675 0.325 0.825
Tb 0.675 0.675 0.675
Tb 0.572 0.072 0.428
Tb 0.428 0.572 0.072
Ho 0.077 0.577 0.923
Ho 0.923 0.077 0.577
Ho 0.423 0.423 0.423
Ho 0.577 0.923 0.077
In 0.753 0.627 0.999
In 0.873 0.001 0.253
In 0.999 0.753 0.627
In 0.127 0.501 0.247
In 0.247 0.127 0.501
In 0.253 0.873 0.001
In 0.001 0.253 0.873
In 0.373 0.499 0.747
In 0.501 0.247 0.127
In 0.627 0.999 0.753
In 0.747 0.373 0.499
In 0.499 0.747 0.373

Output
Space-group type: No. 198
DOS(E_F), states/eV/cell: 35.41

---

B) # Tb3HoIn3

An optimized crystal structure of Tb3HoIn3 (PBE, Alexandria).

a b c (Å): 5.171 9.362 9.362
angles (deg): 120.00 90.00 90.00
Atoms (fractional coordinates):
Tb 0.250 0.768 0.765
Tb 0.250 0.235 0.003
Tb 0.250 0.997 0.232
Tb 0.750 0.232 0.235
Tb 0.750 0.765 0.997
Tb 0.750 0.003 0.768
Ho 0.250 0.667 0.333
Ho 0.750 0.333 0.667
In 0.750 0.616 0.545
In 0.750 0.455 0.071
In 0.750 0.929 0.384
In 0.250 0.384 0.455
In 0.250 0.545 0.929
In 0.250 0.071 0.616

Output
Space-group type: No. 176
DOS(E_F), states/eV/cell: 10.70

---

Relative stability in meV/atom, measured from the most stable structure: A) 10; B) 0